# 1
{"formula": "SiBiAu3", "functional": "PBE", "state": "optimized geometry", "lattice_angstrom": [[-0.271, -2.064, -4.927], [-0.748, -4.870, 2.081], [-5.289, 0.795, -0.042]], "species": ["Si", "Au", "Au", "Au", "Bi"], "frac_coords": [[0.500, 0.500, 0.500], [0.000, 0.500, 0.000], [0.500, 0.000, 0.000], [0.000, 0.000, 0.500], [0.000, 0.000, 0.000]], "n_ef_per_ev_atom": 0.73, "space_group": "Pm-3m, No. 221", "raw_formation_energy_ev_per_fu": 5.2}

***

# 2
{"formula": "SiBi3Au", "functional": "PBE", "state": "optimized geometry", "lattice_angstrom": [[-5.252, 1.018, -0.579], [-1.171, -4.626, 2.489], [-0.026, 2.555, 4.736]], "species": ["Bi", "Bi", "Bi", "Au", "Si"], "frac_coords": [[0.000, 0.000, 0.500], [0.500, 0.000, 0.000], [0.000, 0.500, 0.000], [0.500, 0.500, 0.500], [0.000, 0.000, 0.000]], "n_ef_per_ev_atom": 0.56, "space_group": "Pm-3m, No. 221", "raw_formation_energy_ev_per_fu": 3.7}

***

# 3
{"formula": "Si2BiAu2", "functional": "PBE", "state": "optimized geometry", "lattice_angstrom": [[-3.417, 1.303, -1.874], [-1.790, -3.622, 0.746], [-4.676, 0.945, 4.678]], "species": ["Si", "Si", "Au", "Au", "Bi"], "frac_coords": [[0.750, 0.250, 0.500], [0.250, 0.750, 0.500], [0.618, 0.618, 0.764], [0.382, 0.382, 0.236], [0.000, 0.000, 0.000]], "n_ef_per_ev_atom": 0.25, "space_group": "I4/mmm, No. 139", "raw_formation_energy_ev_per_fu": 0.7}

***

# 4
{"formula": "SiBi2Au2", "functional": "PBE", "state": "optimized geometry", "lattice_angstrom": [[-2.315, -3.457, -5.184], [2.137, -5.635, 2.804], [-4.809, -0.567, 2.526]], "species": ["Au", "Au", "Au", "Au", "Bi", "Bi", "Bi", "Bi", "Si", "Si"], "frac_coords": [[0.843, 0.657, 0.000], [0.343, 0.843, 0.000], [0.157, 0.343, 0.000], [0.657, 0.157, 0.000], [0.203, 0.703, 0.500], [0.797, 0.297, 0.500], [0.297, 0.203, 0.500], [0.703, 0.797, 0.500], [0.000, 0.000, 0.000], [0.500, 0.500, 0.000]], "n_ef_per_ev_atom": 0.35, "space_group": "P4/mbm, No. 127", "raw_formation_energy_ev_per_fu": 0.8}

***

# 5
{"formula": "SiBi3Au", "functional": "PBE", "state": "optimized geometry", "lattice_angstrom": [[5.532, 0.000, 0.000], [0.000, 5.532, 0.000], [0.000, 0.000, 5.532]], "species": ["Bi", "Bi", "Bi", "Au", "Si"], "frac_coords": [[0.500, 0.000, 0.000], [0.000, 0.500, 0.000], [0.000, 0.000, 0.500], [0.000, 0.000, 0.000], [0.500, 0.500, 0.500]], "n_ef_per_ev_atom": 0.93, "space_group": "Pm-3m, No. 221", "raw_formation_energy_ev_per_fu": 4.2}

***

# 6
{"formula": "SiBiAu2", "functional": "PBE", "state": "optimized geometry", "lattice_angstrom": [[-2.862, -1.250, 3.766], [2.831, -3.898, 0.858], [4.543, 1.821, 7.236]], "species": ["Au", "Au", "Au", "Au", "Si", "Si", "Bi", "Bi"], "frac_coords": [[0.875, 0.776, 0.750], [0.375, 0.474, 0.750], [0.224, 0.625, 0.250], [0.526, 0.125, 0.250], [0.250, 0.750, 0.500], [0.500, 0.500, 0.000], [0.000, 0.000, 0.000], [0.750, 0.250, 0.500]], "n_ef_per_ev_atom": 0.35, "space_group": "I-42d, No. 122", "raw_formation_energy_ev_per_fu": 0.2}

***

# 7
{"formula": "Si2BiAu2", "functional": "PBE", "state": "optimized geometry", "lattice_angstrom": [[-5.027, -3.959, -4.604], [3.814, -6.710, 1.605], [-1.939, -0.494, 2.542]], "species": ["Au", "Au", "Au", "Au", "Si", "Si", "Si", "Si", "Bi", "Bi"], "frac_coords": [[0.867, 0.367, 0.500], [0.133, 0.633, 0.500], [0.633, 0.867, 0.500], [0.367, 0.133, 0.500], [0.338, 0.838, 0.000], [0.662, 0.162, 0.000], [0.838, 0.662, 0.000], [0.162, 0.338, 0.000], [0.000, 0.000, 0.000], [0.500, 0.500, 0.000]], "n_ef_per_ev_atom": 0.43, "space_group": "P4/mbm, No. 127", "raw_formation_energy_ev_per_fu": 1.7}

***

# 8
{"formula": "Si2Bi2Au5", "functional": "PBE", "state": "optimized geometry", "lattice_angstrom": [[-1.110, 2.732, 1.754], [2.977, -5.157, 6.537], [7.035, 1.138, 2.402]], "species": ["Bi", "Bi", "Si", "Si", "Au", "Au", "Au", "Au", "Au"], "frac_coords": [[0.599, 0.230, 0.184], [0.401, 0.770, 0.816], [0.846, 0.689, 0.267], [0.154, 0.311, 0.733], [0.060, 0.118, 0.577], [0.000, 0.000, 0.000], [0.758, 0.520, 0.702], [0.940, 0.882, 0.423], [0.242, 0.480, 0.298]], "n_ef_per_ev_atom": 0.24, "space_group": "P-1, No. 2", "raw_formation_energy_ev_per_fu": 0.3}